## Ni2HgTe (GGA-PBE)

Data for a relaxed Ni2HgTe crystal.

Output
* energy above the lowest structure with this stoichiometry: 2.96 kcal/mol of atoms
* energy relative to the elements, uncorrected: 23 kJ/mol of atoms

Structure (CIF):
```
data_Ni2HgTe
_chemical_formula_sum 'Ni4 Hg2 Te2'
_space_group_name_H-M_alt 'C m m m'
_space_group_IT_number 65
_space_group_name_Hall '-C 2 2'
_cell_length_a 6.407
_cell_length_b 6.414
_cell_length_c 3.266
_cell_angle_alpha 90.00
_cell_angle_beta 90.00
_cell_angle_gamma 90.00
loop_
_atom_site_label
_atom_site_type_symbol
_atom_site_fract_x
_atom_site_fract_y
_atom_site_fract_z
Ni1 Ni 0.250 0.250 0.000
Hg1 Hg 0.000 0.000 0.500
Te1 Te 0.000 0.500 0.500
```



## Ni2HgTe (GGA-PBE)

Data for a relaxed Ni2HgTe crystal.

Output
* energy above the lowest structure with this stoichiometry: 2.09 kcal/mol of atoms
* energy relative to the elements, uncorrected: 19 kJ/mol of atoms

Structure (CIF):
```
data_Ni2HgTe
_chemical_formula_sum 'Ni4 Hg2 Te2'
_space_group_name_H-M_alt 'I m m 2'
_space_group_IT_number 44
_cell_length_a 3.089
_cell_length_b 4.123
_cell_length_c 11.291
_cell_angle_alpha 90.00
_cell_angle_beta 90.00
_cell_angle_gamma 90.00
loop_
_space_group_symop_operation_xyz
'x,y,z'
'-x,-y,z'
'-x,y,z'
'x,-y,z'
'x+1/2,y+1/2,z+1/2'
'-x+1/2,-y+1/2,z+1/2'
'-x+1/2,y+1/2,z+1/2'
'x+1/2,-y+1/2,z+1/2'
loop_
_atom_site_label
_atom_site_type_symbol
_atom_site_fract_x
_atom_site_fract_y
_atom_site_fract_z
Ni1 Ni 0.000 0.000 0.000
Ni2 Ni 0.000 0.500 0.291
Hg1 Hg 0.000 0.000 0.450
Te1 Te 0.000 0.500 0.688
```



## Ni2HgTe3 (GGA-PBE)

Data for a relaxed Ni2HgTe3 crystal.

Output
* energy relative to the elements, uncorrected: -11 kJ/mol of atoms

Structure (CIF):
```
data_Ni2HgTe3
_chemical_formula_sum 'Ni12 Hg6 Te18'
_space_group_name_H-M_alt 'R -3 m'
_space_group_IT_number 166
_space_group_name_Hall '-R 3 2"'
_cell_length_a 7.6701
_cell_length_b 7.6701
_cell_length_c 17.4989
_cell_angle_alpha 90.00
_cell_angle_beta 90.00
_cell_angle_gamma 120.00
loop_
_atom_site_label
_atom_site_type_symbol
_atom_site_fract_x
_atom_site_fract_y
_atom_site_fract_z
Ni1 Ni 0.0000 0.0000 0.0000
Ni2 Ni 0.0000 0.5000 0.0000
Hg1 Hg 0.0000 0.0000 0.2346
Te1 Te 0.0056 0.5028 0.2617
```



## Ni2HgTe (GGA-PBE)

Data for a relaxed Ni2HgTe crystal.

Output
* energy above the lowest structure with this stoichiometry: 4.35 kcal/mol of atoms
* energy relative to the elements, uncorrected: 29 kJ/mol of atoms

Structure (CIF):
```
data_Ni2HgTe
_chemical_formula_sum 'Ni8 Hg4 Te4'
_space_group_name_H-M_alt 'I -4 2 d'
_space_group_IT_number 122
_space_group_name_Hall 'I -4 2bw'
_cell_length_a 4.506
_cell_length_b 4.506
_cell_length_c 16.150
_cell_angle_alpha 90.00
_cell_angle_beta 90.00
_cell_angle_gamma 90.00
loop_
_atom_site_label
_atom_site_type_symbol
_atom_site_fract_x
_atom_site_fract_y
_atom_site_fract_z
Ni1 Ni 0.172 0.250 0.125
Hg1 Hg 0.000 0.000 0.500
Te1 Te 0.000 0.000 0.000
```



## Ni2HgTe (GGA-PBE)

Data for a relaxed Ni2HgTe crystal.

Output
* energy above the lowest structure with this stoichiometry: 4.54 kcal/mol of atoms
* energy relative to the elements, uncorrected: 29 kJ/mol of atoms

Structure (CIF):
```
data_Ni2HgTe
_chemical_formula_sum 'Ni4 Hg2 Te2'
_space_group_name_H-M_alt 'I -4 m 2'
_space_group_IT_number 119
_space_group_name_Hall 'I -4 -2'
_cell_length_a 3.805
_cell_length_b 3.805
_cell_length_c 9.460
_cell_angle_alpha 90.00
_cell_angle_beta 90.00
_cell_angle_gamma 90.00
loop_
_atom_site_label
_atom_site_type_symbol
_atom_site_fract_x
_atom_site_fract_y
_atom_site_fract_z
Ni1 Ni 0.000 0.000 0.000
Ni2 Ni 0.000 0.500 0.250
Hg1 Hg 0.000 0.000 0.500
Te1 Te 0.000 0.500 0.750
```



## Ni2HgTe (GGA-PBE)

Data for a relaxed Ni2HgTe crystal.

Output
* energy above the lowest structure with this stoichiometry: 0.28 kcal/mol of atoms
* energy relative to the elements, uncorrected: 12 kJ/mol of atoms

Structure (CIF):
```
data_Ni2HgTe
_chemical_formula_sum 'Ni4 Hg2 Te2'
_space_group_name_H-M_alt 'C 1 m 1'
_space_group_IT_number 8
_cell_length_a 7.671
_cell_length_b 3.450
_cell_length_c 6.402
_cell_angle_alpha 90.00
_cell_angle_beta 96.36
_cell_angle_gamma 90.00
loop_
_space_group_symop_operation_xyz
'x,y,z'
'x,-y,z'
'x+1/2,y+1/2,z'
'x+1/2,-y+1/2,z'
loop_
_atom_site_label
_atom_site_type_symbol
_atom_site_fract_x
_atom_site_fract_y
_atom_site_fract_z
Ni1 Ni 0.000 0.000 0.000
Ni2 Ni 0.191 0.500 0.868
Hg1 Hg 0.308 0.000 0.229
Te1 Te 0.375 0.000 0.707
```



## Ni2Hg2Te (GGA-PBE)

Data for a relaxed Ni2Hg2Te crystal.

Output
* energy relative to the elements, uncorrected: 18 kJ/mol of atoms

Structure (CIF):
```
data_Ni2Hg2Te
_chemical_formula_sum 'Ni4 Hg4 Te2'
_space_group_name_H-M_alt 'P 4/m b m'
_space_group_IT_number 127
_space_group_name_Hall '-P 4 2ab'
_cell_length_a 6.812
_cell_length_b 6.812
_cell_length_c 3.969
_cell_angle_alpha 90.00
_cell_angle_beta 90.00
_cell_angle_gamma 90.00
loop_
_atom_site_label
_atom_site_type_symbol
_atom_site_fract_x
_atom_site_fract_y
_atom_site_fract_z
Ni1 Ni 0.144 0.356 0.000
Hg1 Hg 0.153 0.653 0.500
Te1 Te 0.000 0.000 0.000
```



## Ni2HgTe (GGA-PBE)

Data for a relaxed Ni2HgTe crystal.

Output
* energy above the lowest structure with this stoichiometry: 1.53 kcal/mol of atoms
* energy relative to the elements, uncorrected: 17 kJ/mol of atoms

Structure (CIF):
```
data_Ni2HgTe
_chemical_formula_sum 'Ni6 Hg3 Te3'
_space_group_name_H-M_alt 'R -3 m'
_space_group_IT_number 166
_space_group_name_Hall '-R 3 2"'
_cell_length_a 3.5962
_cell_length_b 3.5962
_cell_length_c 19.5891
_cell_angle_alpha 90.00
_cell_angle_beta 90.00
_cell_angle_gamma 120.00
loop_
_atom_site_label
_atom_site_type_symbol
_atom_site_fract_x
_atom_site_fract_y
_atom_site_fract_z
Ni1 Ni 0.0000 0.0000 0.2456
Hg1 Hg 0.0000 0.0000 0.0000
Te1 Te 0.0000 0.0000 0.5000
```



Please write out number 2 again, unchanged.
## Ni2HgTe (GGA-PBE)

Data for a relaxed Ni2HgTe crystal.

Output
* energy above the lowest structure with this stoichiometry: 2.09 kcal/mol of atoms
* energy relative to the elements, uncorrected: 19 kJ/mol of atoms

Structure (CIF):
```
data_Ni2HgTe
_chemical_formula_sum 'Ni4 Hg2 Te2'
_space_group_name_H-M_alt 'I m m 2'
_space_group_IT_number 44
_cell_length_a 3.089
_cell_length_b 4.123
_cell_length_c 11.291
_cell_angle_alpha 90.00
_cell_angle_beta 90.00
_cell_angle_gamma 90.00
loop_
_space_group_symop_operation_xyz
'x,y,z'
'-x,-y,z'
'-x,y,z'
'x,-y,z'
'x+1/2,y+1/2,z+1/2'
'-x+1/2,-y+1/2,z+1/2'
'-x+1/2,y+1/2,z+1/2'
'x+1/2,-y+1/2,z+1/2'
loop_
_atom_site_label
_atom_site_type_symbol
_atom_site_fract_x
_atom_site_fract_y
_atom_site_fract_z
Ni1 Ni 0.000 0.000 0.000
Ni2 Ni 0.000 0.500 0.291
Hg1 Hg 0.000 0.000 0.450
Te1 Te 0.000 0.500 0.688
```



energy relative to the elements, uncorrected of number 1 (Ni2HgTe)? 23 kJ/mol of atoms



Which of these has the lowest energy relative to the elements, uncorrected? Ni2HgTe3